# VPd2PtN | Alexandria | PBE | optimized geometry
data_VPd2PtN
_cell_length_a 4.770
_cell_length_b 4.770
_cell_length_c 3.544
_cell_angle_alpha 90.00
_cell_angle_beta 90.00
_cell_angle_gamma 90.00
_space_group_name_H-M_alt 'P 1'
_space_group_IT_number 1
loop_
_space_group_symop_operation_xyz
'x,y,z'
loop_
_atom_site_label
_atom_site_fract_x
_atom_site_fract_y
_atom_site_fract_z
_atom_site_occupancy
V1 0.000 0.000 0.000 1
Pd1 0.000 0.500 0.000 1
Pd2 0.500 0.000 0.000 1
Pt1 0.500 0.500 0.500 1
N1 0.000 0.000 0.500 1
# VASP energy: -6.137 eV per atom
# ΔE_f (raw): 0.637 eV/atom
# crystal system: tetragonal